(1)
K4NaCu3F12: optimized geometry, PBE.

Results
* space group: No. 229
* formation energy without anion corrections: -2228 meV per atom

abc: 7.1409 7.1409 7.1409
angles: 109.47 109.47 109.47
Sites, in units of the cell vectors:
F 0.7500 0.2500 0.5000
Cu 0.5000 0.5000 0.0000
F 0.5000 0.7500 0.2500
F 0.2705 0.2705 0.0000
F 0.2500 0.5000 0.7500
Na 0.0000 0.0000 0.0000
F 0.0000 0.7295 0.7295
K 0.0000 0.0000 0.5000
Cu 0.5000 0.0000 0.5000
K 0.0000 0.5000 0.0000
F 0.5000 0.2500 0.7500
K 0.5000 0.0000 0.0000
F 0.7500 0.5000 0.2500
F 0.7295 0.7295 0.0000
K 0.5000 0.5000 0.5000
Cu 0.0000 0.5000 0.5000
F 0.7295 0.0000 0.7295
F 0.0000 0.2705 0.2705
F 0.2500 0.7500 0.5000
F 0.2705 0.0000 0.2705

***

(2)
Pm5Tl6Zn: optimized geometry, PBE.

Results
* space group: No. 12
* formation enthalpy at 0 K: -0.3079 eV per atom

abc: 4.9273 9.0198 9.2191
angles: 119.29 105.42 90.00
Sites, in units of the cell vectors:
Tl 0.1691 0.4239 0.3383
Tl 0.8309 0.0855 0.6617
Pm 0.3628 0.8628 0.7257
Pm 0.6372 0.1372 0.2743
Pm 0.0000 0.5000 0.0000
Tl 0.5000 0.2638 0.0000
Zn 0.0000 0.0000 0.0000
Tl 0.8309 0.5761 0.6617
Pm 0.6773 0.6774 0.3548
Pm 0.3227 0.3226 0.6452
Tl 0.1691 0.9145 0.3383
Tl 0.5000 0.7362 0.0000

***

(3)
Pr5Sm6Tl: optimized geometry, PBE.

Results
* space group: No. 12
* formation enthalpy at 0 K: -0.0329 eV per atom

abc: 5.0933 9.6137 9.6137
angles: 106.75 105.31 105.31
Sites, in units of the cell vectors:
Sm 0.2555 0.7558 0.7558
Sm 0.2444 0.0806 0.4082
Pr 0.5000 0.5000 0.5000
Pr 0.0000 0.6634 0.3366
Sm 0.7445 0.2442 0.2442
Pr 0.0000 0.3366 0.6634
Sm 0.2444 0.4082 0.0806
Pr 0.5000 0.1682 0.8318
Sm 0.7556 0.5918 0.9194
Sm 0.7556 0.9194 0.5918
Pr 0.5000 0.8318 0.1682
Tl 0.0000 0.0000 0.0000

***

(4)
VCo3Hg: optimized geometry, PBE.

Results
* space group: No. 221
* formation enthalpy at 0 K: 1.9415 eV per atom

abc: 4.7087 4.7087 4.7087
angles: 90.00 90.00 90.00
Sites, in units of the cell vectors:
V 0.5000 0.5000 0.5000
Co 0.0000 0.5000 0.0000
Co 0.0000 0.0000 0.5000
Hg 0.0000 0.0000 0.0000
Co 0.5000 0.0000 0.0000

***

(5)
Ag2Pt: optimized geometry, PBE.

Results
* space group: No. 2
* formation enthalpy at 0 K: 0.0193 eV per atom

abc: 7.6819 5.7437 5.7756
angles: 119.59 113.39 78.70
Sites, in units of the cell vectors:
Ag 0.0003 0.0049 0.5034
Pt 0.6665 0.8209 0.9876
Pt 0.3333 0.6667 0.5000
Ag 0.9983 0.0045 0.0032
Ag 0.3333 0.1667 0.0000
Pt 0.0002 0.5125 0.0124
Pt 0.3333 0.1667 0.5000
Ag 0.6633 0.8308 0.4943
Ag 0.6663 0.3284 0.4966
Ag 0.0034 0.5025 0.5057
Ag 0.3333 0.6667 0.0000
Ag 0.6684 0.3288 0.9968

***

(6)
TlCu4Ag3Cl12: optimized geometry, PBE.

Results
* space group: No. 155
* formation energy without anion corrections: -494 meV per atom

abc: 8.5690 8.5690 8.5690
angles: 105.33 105.33 105.33
Sites, in units of the cell vectors:
Cl 0.9836 0.2412 0.3557
Ag 0.4326 0.0000 0.5674
Cu 0.5000 0.9236 0.0764
Cl 0.6608 0.5000 0.3392
Cl 0.7588 0.0164 0.6443
Cu 0.5000 0.5000 0.5000
Cl 0.3392 0.6608 0.5000
Cl 0.0164 0.6443 0.7588
Ag 0.5674 0.4326 0.0000
Cl 0.3557 0.9836 0.2412
Tl 0.0000 0.0000 0.0000
Cu 0.0764 0.5000 0.9236
Cl 0.2412 0.3557 0.9836
Cl 0.0862 0.9138 0.5000
Cu 0.9236 0.0764 0.5000
Cl 0.5000 0.3392 0.6608
Cl 0.5000 0.0862 0.9138
Cl 0.9138 0.5000 0.0862
Ag 0.0000 0.5674 0.4326
Cl 0.6443 0.7588 0.0164

***

(7)
SrCu2AgF8: optimized geometry, PBE.

Results
* space group: No. 82
* formation energy without anion corrections: -1974 meV per atom

abc: 5.6751 5.6751 6.5196
angles: 115.80 115.80 90.00
Sites, in units of the cell vectors:
F 0.9735 0.8917 0.5488
F 0.7710 0.3360 0.9479
Cu 0.2500 0.7500 0.5000
Ag 0.0000 0.0000 0.0000
F 0.1083 0.4248 0.4512
F 0.1769 0.6119 0.9479
Cu 0.5000 0.5000 0.0000
F 0.3429 0.0265 0.4512
F 0.6640 0.8231 0.0521
Sr 0.7500 0.2500 0.5000
F 0.5752 0.6571 0.5488
F 0.3881 0.2290 0.0521

***

(8)
PmTmAgHg: optimized geometry, PBE.

Results
* space group: No. 99
* formation enthalpy at 0 K: -0.3878 eV per atom

abc: 3.6792 3.6792 7.4818
angles: 90.00 90.00 90.00
Sites, in units of the cell vectors:
Hg 0.5000 0.5000 0.1247
Tm 0.0000 0.0000 0.3644
Ag 0.5000 0.5000 0.5856
Pm 0.0000 0.0000 0.8533

***

(9)
Sr6GaIr: optimized geometry, PBE.

Results
* space group: No. 38
* formation enthalpy at 0 K: -0.1664 eV per atom

abc: 4.2255 9.0120 9.0119
angles: 96.55 90.00 90.00
Sites, in units of the cell vectors:
Sr 0.5000 0.9253 0.0747
Sr 0.0000 0.6585 0.3414
Ga 0.0000 0.1514 0.8486
Sr 0.5000 0.3466 0.0793
Sr 0.0000 0.5307 0.7849
Ir 0.5000 0.2514 0.7486
Sr 0.0000 0.2151 0.4693
Sr 0.5000 0.9207 0.6533

***

(10)
La2CoN: optimized geometry, PBE.

Results
* space group: No. 107
* formation energy without anion corrections: -600 meV per atom

abc: 3.7233 3.7233 11.5729
angles: 90.00 90.00 90.00
Sites, in units of the cell vectors:
La 0.5000 0.5000 0.6365
La 0.5000 0.5000 0.9146
Co 0.5000 0.5000 0.2629
N 0.5000 0.5000 0.4272
N 0.0000 0.0000 0.9272
La 0.0000 0.0000 0.1365
La 0.0000 0.0000 0.4146
Co 0.0000 0.0000 0.7629

***

(11)
PmDyMgOs: optimized geometry, PBE.

Results
* space group: No. 99
* formation enthalpy at 0 K: -0.1347 eV per atom

abc: 3.4227 3.4227 8.6879
angles: 90.00 90.00 90.00
Sites, in units of the cell vectors:
Pm 0.5000 0.5000 0.7665
Dy 0.5000 0.5000 0.3760
Mg 0.0000 0.0000 0.0782
Os 0.0000 0.0000 0.5640

***

(12)
Rb2SeI: optimized geometry, PBE.

Results
* space group: No. 122
* formation energy without anion corrections: -846 meV per atom

abc: 8.1946 8.1946 9.8469
angles: 65.41 65.41 90.00
Sites, in units of the cell vectors:
Rb 0.3750 0.3929 0.7500
I 0.0000 0.0000 0.0000
Se 0.5000 0.5000 0.0000
Rb 0.6071 0.1250 0.2500
Rb 0.1429 0.6250 0.2500
I 0.7500 0.2500 0.5000
Se 0.2500 0.7500 0.5000
Rb 0.8750 0.8571 0.7500

***

(13)
Ca2ScCdAu6: optimized geometry, PBE.

Results
* space group: No. 225
* formation enthalpy at 0 K: -0.1250 eV per atom

abc: 7.3689 7.3689 7.3689
angles: 60.00 60.00 90.00
Sites, in units of the cell vectors:
Ca 0.7500 0.2500 0.5000
Au 0.7473 0.2527 0.0000
Ca 0.2500 0.7500 0.5000
Au 0.7473 0.7473 0.0000
Au 0.2527 0.2527 0.0000
Sc 0.5000 0.5000 0.0000
Cd 0.0000 0.0000 0.0000
Au 0.2527 0.2527 0.4946
Au 0.2527 0.7473 0.0000
Au 0.7473 0.7473 0.5054

***

(14)
K2VAgTe4: optimized geometry, PBE.

Results
* space group: No. 70
* formation energy without anion corrections: -566 meV per atom

abc: 6.2221 7.7701 13.3814
angles: 84.66 76.56 66.40
Sites, in units of the cell vectors:
Te 0.5555 0.2096 0.1189
Te 0.1945 0.2904 0.3811
Ag 0.7500 0.5000 0.5000
K 0.1851 0.0000 0.6298
Te 0.8660 0.7096 0.6189
V 0.2500 0.5000 0.5000
Te 0.5152 0.2904 0.6189
V 0.5000 0.0000 0.0000
Te 0.4244 0.7096 0.3811
K 0.5649 0.5000 0.8702
Ag 0.0000 0.0000 0.0000
K 0.8149 0.0000 0.3702
Te 0.2348 0.2096 0.8811
Te 0.8840 0.7904 0.8811
Te 0.3256 0.7904 0.1189
K 0.9351 0.5000 0.1298

***

(15)
AcLaGeI: optimized geometry, PBE.

Results
* space group: No. 160
* formation energy without anion corrections: -1038 meV per atom

abc: 4.4867 4.4874 8.5986
angles: 90.01 105.12 120.00
Sites, in units of the cell vectors:
I 0.9603 0.3782 0.3535
La 0.1031 0.9495 0.0678
Ac 0.5025 0.1492 0.6672
Ge 0.3120 0.5540 0.8813

***

(16)
SrCuAg2: optimized geometry, PBE.

Results
* space group: No. 119
* formation enthalpy at 0 K: 0.0199 eV per atom

abc: 5.0076 5.0076 5.0076
angles: 119.78 119.78 90.38
Sites, in units of the cell vectors:
Sr 0.7500 0.2500 0.5000
Ag 0.0000 0.0000 0.0000
Cu 0.5000 0.5000 0.0000
Ag 0.2500 0.7500 0.5000

***

(17)
CsTl2SnSb2: optimized geometry, PBE.

Results
* space group: No. 26
* formation energy without anion corrections: -132 meV per atom

abc: 4.8328 8.3816 11.1996
angles: 90.00 90.00 90.00
Sites, in units of the cell vectors:
Tl 0.0000 0.8479 0.8566
Tl 0.5000 0.0394 0.0585
Tl 0.0000 0.3479 0.1434
Cs 0.0000 0.9821 0.4363
Tl 0.5000 0.5394 0.9415
Cs 0.0000 0.4821 0.5637
Sb 0.5000 0.2987 0.3067
Sn 0.5000 0.6460 0.2903
Sb 0.0000 0.7315 0.1364
Sn 0.5000 0.1460 0.7097
Sb 0.5000 0.7987 0.6933
Sb 0.0000 0.2315 0.8636

***

(18)
ScHg: optimized geometry, PBE.

Results
* space group: No. 187
* formation enthalpy at 0 K: -0.2248 eV per atom

abc: 3.4539 3.4539 4.5302
angles: 90.00 90.00 120.00
Sites, in units of the cell vectors:
Hg 0.0000 0.0000 0.0000
Sc 0.3333 0.6667 0.5000

***

(19)
CoPd2W: optimized geometry, PBE.

Results
* space group: No. 122
* formation enthalpy at 0 K: 0.6825 eV per atom

abc: 6.9086 6.9086 5.5368
angles: 51.40 51.40 90.00
Sites, in units of the cell vectors:
Co 0.5000 0.5000 0.0000
W 0.0000 0.0000 0.0000
Pd 0.8750 0.8658 0.7500
W 0.7500 0.2500 0.5000
Pd 0.3750 0.3842 0.7500
Pd 0.1342 0.6250 0.2500
Co 0.2500 0.7500 0.5000
Pd 0.6158 0.1250 0.2500

***

(20)
PaPH2Ru2: optimized geometry, PBE.

Results
* space group: No. 11
* calculated total energy: -7.09 eV/atom

abc: 5.6533 5.3040 5.1585
angles: 92.81 90.00 90.00
Sites, in units of the cell vectors:
Ru 0.4998 0.1338 0.2652
P 0.2500 0.1941 0.9065
P 0.7500 0.8059 0.0935
Ru 0.0002 0.1338 0.2652
Ru 0.9998 0.8662 0.7348
H 0.7500 0.3460 0.3111
H 0.2500 0.2673 0.4481
H 0.2500 0.6540 0.6889
Pa 0.7500 0.3454 0.7784
Ru 0.5002 0.8662 0.7348
H 0.7500 0.7327 0.5519
Pa 0.2500 0.6546 0.2216

***

(21)
Li2LaWN4: optimized geometry, PBE.

Results
* space group: No. 121
* formation energy without anion corrections: -745 meV per atom

abc: 5.4699 5.2146 5.2146
angles: 84.25 58.37 58.37
Sites, in units of the cell vectors:
N 0.6001 0.5463 0.8536
Li 0.5000 0.7501 0.2499
N 0.0000 0.8536 0.5463
N 0.0000 0.4537 0.1464
N 0.3999 0.1464 0.4537
Li 0.5000 0.2499 0.7501
La 0.0000 0.0000 0.0000
W 0.0000 0.5000 0.5000

***

(22)
AcCI: optimized geometry, PBE.

Results
* space group: No. 12
* formation energy without anion corrections: -789 meV per atom

abc: 4.3808 4.3805 11.4889
angles: 86.44 86.44 69.72
Sites, in units of the cell vectors:
I 0.6322 0.8946 0.3749
Ac 0.6926 0.9549 0.9252
C 0.4941 0.4889 0.0563
I 0.0882 0.3506 0.7378
Ac 0.0279 0.2903 0.1875
C 0.2265 0.7564 0.0563

***

(23)
BiP2OsO: optimized geometry, PBE.

Results
* space group: No. 123
* formation energy without anion corrections: 1614 meV per atom

abc: 5.1610 5.1610 4.0558
angles: 90.00 90.00 90.00
Sites, in units of the cell vectors:
P 0.0000 0.5000 0.0000
O 0.0000 0.0000 0.5000
P 0.5000 0.0000 0.0000
Os 0.5000 0.5000 0.5000
Bi 0.0000 0.0000 0.0000